Record 1
# Tb2CI2 | the Alexandria database | GGA-PBE | optimized geometry
data_Tb2CI2
_chemical_formula_sum 'Tb4 C2 I4'
_cell_length_a 6.7375
_cell_length_b 3.8899
_cell_length_c 12.0938
_cell_angle_alpha 90.00
_cell_angle_beta 102.07
_cell_angle_gamma 90.00
_symmetry_space_group_name_H-M 'C 1 2/m 1'
_symmetry_Int_Tables_number 12
_symmetry_space_group_name_Hall '-C 2y'
loop_
_atom_site_label
_atom_site_fract_x
_atom_site_fract_y
_atom_site_fract_z
Tb1 0.2087 0.0000 0.1121
C1 0.0000 0.5000 0.0000
I1 0.0556 0.0000 0.7040
# magnetization: 0.00 μB/f.u.
# formation energy without anion corrections: -4.78 eV/f.u.

---

Record 2
# Tc3CI | the Alexandria database | GGA-PBE | optimized geometry
data_Tc3CI
_chemical_formula_sum 'Tc3 C1 I1'
_cell_length_a 4.8311
_cell_length_b 4.8311
_cell_length_c 4.8311
_cell_angle_alpha 90.00
_cell_angle_beta 90.00
_cell_angle_gamma 90.00
_symmetry_space_group_name_H-M 'P m -3 m'
_symmetry_Int_Tables_number 221
_symmetry_space_group_name_Hall '-P 4 2 3'
loop_
_atom_site_label
_atom_site_fract_x
_atom_site_fract_y
_atom_site_fract_z
Tc1 0.0000 0.0000 0.5000
C1 0.5000 0.5000 0.5000
I1 0.0000 0.0000 0.0000
# magnetization: 2.22 μB/f.u.
# formation energy without anion corrections: 16.89 eV/f.u.

---

Record 3
# Tc3CI | the Alexandria database | GGA-PBE | optimized geometry
data_Tc3CI
_chemical_formula_sum 'Tc3 C1 I1'
_cell_length_a 4.1962
_cell_length_b 4.1962
_cell_length_c 4.1962
_cell_angle_alpha 90.00
_cell_angle_beta 90.00
_cell_angle_gamma 90.00
_symmetry_space_group_name_H-M 'P m -3 m'
_symmetry_Int_Tables_number 221
_symmetry_space_group_name_Hall '-P 4 2 3'
loop_
_atom_site_label
_atom_site_fract_x
_atom_site_fract_y
_atom_site_fract_z
Tc1 0.0000 0.0000 0.5000
C1 0.0000 0.0000 0.0000
I1 0.5000 0.5000 0.5000
# magnetization: 0.39 μB/f.u.
# formation energy without anion corrections: 3.91 eV/f.u.

---

Record 4
# Tc2CI2 | the Alexandria database | GGA-PBE | optimized geometry
data_Tc2CI2
_chemical_formula_sum 'Tc4 C2 I4'
_cell_length_a 5.8676
_cell_length_b 5.8676
_cell_length_c 5.4373
_cell_angle_alpha 90.00
_cell_angle_beta 90.00
_cell_angle_gamma 90.00
_symmetry_space_group_name_H-M 'P 4/m b m'
_symmetry_Int_Tables_number 127
_symmetry_space_group_name_Hall '-P 4 2ab'
loop_
_atom_site_label
_atom_site_fract_x
_atom_site_fract_y
_atom_site_fract_z
Tc1 0.1898 0.3102 0.0000
C1 0.0000 0.0000 0.0000
I1 0.1875 0.3125 0.5000
# magnetization: 0.00 μB/f.u.
# formation energy without anion corrections: 4.90 eV/f.u.

---

Record 5
# Tc2C2I | the Alexandria database | GGA-PBE | optimized geometry
data_Tc2C2I
_chemical_formula_sum 'Tc4 C4 I2'
_cell_length_a 7.0487
_cell_length_b 7.0487
_cell_length_c 3.1165
_cell_angle_alpha 90.00
_cell_angle_beta 90.00
_cell_angle_gamma 90.00
_symmetry_space_group_name_H-M 'P 4/m b m'
_symmetry_Int_Tables_number 127
_symmetry_space_group_name_Hall '-P 4 2ab'
loop_
_atom_site_label
_atom_site_fract_x
_atom_site_fract_y
_atom_site_fract_z
Tc1 0.1284 0.3716 0.0000
C1 0.0754 0.5754 0.5000
I1 0.0000 0.0000 0.0000
# magnetization: 0.00 μB/f.u.
# formation energy without anion corrections: 6.49 eV/f.u.

---

Record 6
# TcCI3 | the Alexandria database | GGA-PBE | optimized geometry
data_TcCI3
_chemical_formula_sum 'Tc1 C1 I3'
_cell_length_a 4.8492
_cell_length_b 4.8492
_cell_length_c 4.8492
_cell_angle_alpha 90.00
_cell_angle_beta 90.00
_cell_angle_gamma 90.00
_symmetry_space_group_name_H-M 'P m -3 m'
_symmetry_Int_Tables_number 221
_symmetry_space_group_name_Hall '-P 4 2 3'
loop_
_atom_site_label
_atom_site_fract_x
_atom_site_fract_y
_atom_site_fract_z
Tc1 0.0000 0.0000 0.0000
C1 0.5000 0.5000 0.5000
I1 0.0000 0.5000 0.5000
# magnetization: 0.01 μB/f.u.
# formation energy without anion corrections: 9.92 eV/f.u.

---

Record 7
# TcC3I | the Alexandria database | GGA-PBE | optimized geometry
data_TcC3I
_chemical_formula_sum 'Tc1 C3 I1'
_cell_length_a 4.0409
_cell_length_b 4.0409
_cell_length_c 4.0409
_cell_angle_alpha 90.00
_cell_angle_beta 90.00
_cell_angle_gamma 90.00
_symmetry_space_group_name_H-M 'P m -3 m'
_symmetry_Int_Tables_number 221
_symmetry_space_group_name_Hall '-P 4 2 3'
loop_
_atom_site_label
_atom_site_fract_x
_atom_site_fract_y
_atom_site_fract_z
Tc1 0.0000 0.0000 0.0000
C1 0.0000 0.5000 0.5000
I1 0.5000 0.5000 0.5000
# magnetization: 0.00 μB/f.u.
# formation energy without anion corrections: 18.29 eV/f.u.

---

Record 8
# Tc2CI2 | the Alexandria database | GGA-PBE | optimized geometry
data_Tc2CI2
_chemical_formula_sum 'Tc4 C2 I4'
_cell_length_a 5.3332
_cell_length_b 5.3332
_cell_length_c 10.0602
_cell_angle_alpha 90.00
_cell_angle_beta 90.00
_cell_angle_gamma 90.00
_symmetry_space_group_name_H-M 'I 4/m m m'
_symmetry_Int_Tables_number 139
_symmetry_space_group_name_Hall '-I 4 2'
loop_
_atom_site_label
_atom_site_fract_x
_atom_site_fract_y
_atom_site_fract_z
Tc1 0.0000 0.0000 0.1799
C1 0.0000 0.0000 0.0000
I1 0.0000 0.5000 0.2500
# magnetization: 0.00 μB/f.u.
# formation energy without anion corrections: 4.35 eV/f.u.

---

Record 9
# TcCI3 | the Alexandria database | GGA-PBE | optimized geometry
data_TcCI3
_chemical_formula_sum 'Tc1 C1 I3'
_cell_length_a 5.5074
_cell_length_b 5.5074
_cell_length_c 5.5074
_cell_angle_alpha 90.00
_cell_angle_beta 90.00
_cell_angle_gamma 90.00
_symmetry_space_group_name_H-M 'P m -3 m'
_symmetry_Int_Tables_number 221
_symmetry_space_group_name_Hall '-P 4 2 3'
loop_
_atom_site_label
_atom_site_fract_x
_atom_site_fract_y
_atom_site_fract_z
Tc1 0.0000 0.0000 0.0000
C1 0.5000 0.5000 0.5000
I1 0.0000 0.0000 0.5000
# magnetization: 4.97 μB/f.u.
# formation energy without anion corrections: 8.64 eV/f.u.

---

Record 10
# Tc2C2I | the Alexandria database | GGA-PBE | optimized geometry
data_Tc2C2I
_chemical_formula_sum 'Tc4 C4 I2'
_cell_length_a 3.5555
_cell_length_b 3.5555
_cell_length_c 11.6348
_cell_angle_alpha 90.00
_cell_angle_beta 90.00
_cell_angle_gamma 90.00
_symmetry_space_group_name_H-M 'I 4/m m m'
_symmetry_Int_Tables_number 139
_symmetry_space_group_name_Hall '-I 4 2'
loop_
_atom_site_label
_atom_site_fract_x
_atom_site_fract_y
_atom_site_fract_z
Tc1 0.0000 0.0000 0.1616
C1 0.0000 0.5000 0.2500
I1 0.0000 0.0000 0.5000
# magnetization: 0.00 μB/f.u.
# formation energy without anion corrections: 4.74 eV/f.u.

---

Record 11
# TcC3I | the Alexandria database | GGA-PBE | optimized geometry
data_TcC3I
_chemical_formula_sum 'Tc1 C3 I1'
_cell_length_a 4.1649
_cell_length_b 4.1649
_cell_length_c 4.1649
_cell_angle_alpha 90.00
_cell_angle_beta 90.00
_cell_angle_gamma 90.00
_symmetry_space_group_name_H-M 'P m -3 m'
_symmetry_Int_Tables_number 221
_symmetry_space_group_name_Hall '-P 4 2 3'
loop_
_atom_site_label
_atom_site_fract_x
_atom_site_fract_y
_atom_site_fract_z
Tc1 0.0000 0.0000 0.0000
C1 0.0000 0.0000 0.5000
I1 0.5000 0.5000 0.5000
# magnetization: 0.00 μB/f.u.
# formation energy without anion corrections: 10.77 eV/f.u.

---

Record 12
# TcTeCI2 | the Alexandria database | GGA-PBE | optimized geometry
data_TcTeCI2
_chemical_formula_sum 'Tc1 Te1 C1 I2'
_cell_length_a 4.7906
_cell_length_b 4.7906
_cell_length_c 4.6810
_cell_angle_alpha 90.00
_cell_angle_beta 90.00
_cell_angle_gamma 90.00
_symmetry_space_group_name_H-M 'P 4/m m m'
_symmetry_Int_Tables_number 123
_symmetry_space_group_name_Hall '-P 4 2'
loop_
_atom_site_label
_atom_site_fract_x
_atom_site_fract_y
_atom_site_fract_z
Tc1 0.0000 0.0000 0.0000
Te1 0.5000 0.5000 0.0000
C1 0.5000 0.5000 0.5000
I1 0.0000 0.5000 0.5000
# magnetization: 0.01 μB/f.u.
# formation energy without anion corrections: 9.06 eV/f.u.

---

Record 13
# TcTeCI2 | the Alexandria database | GGA-PBE | optimized geometry
data_TcTeCI2
_chemical_formula_sum 'Tc1 Te1 C1 I2'
_cell_length_a 5.5755
_cell_length_b 5.5755
_cell_length_c 5.0850
_cell_angle_alpha 90.00
_cell_angle_beta 90.00
_cell_angle_gamma 90.00
_symmetry_space_group_name_H-M 'P 4/m m m'
_symmetry_Int_Tables_number 123
_symmetry_space_group_name_Hall '-P 4 2'
loop_
_atom_site_label
_atom_site_fract_x
_atom_site_fract_y
_atom_site_fract_z
Tc1 0.0000 0.0000 0.0000
Te1 0.0000 0.0000 0.5000
C1 0.5000 0.5000 0.5000
I1 0.0000 0.5000 0.0000
# magnetization: 3.03 μB/f.u.
# formation energy without anion corrections: 8.80 eV/f.u.

---

Record 14
# ZrTcCI2 | the Alexandria database | GGA-PBE | optimized geometry
data_ZrTcCI2
_chemical_formula_sum 'Zr1 Tc1 C1 I2'
_cell_length_a 4.9236
_cell_length_b 4.9236
_cell_length_c 4.5065
_cell_angle_alpha 90.00
_cell_angle_beta 90.00
_cell_angle_gamma 90.00
_symmetry_space_group_name_H-M 'P 4/m m m'
_symmetry_Int_Tables_number 123
_symmetry_space_group_name_Hall '-P 4 2'
loop_
_atom_site_label
_atom_site_fract_x
_atom_site_fract_y
_atom_site_fract_z
Zr1 0.0000 0.0000 0.0000
Tc1 0.5000 0.5000 0.0000
C1 0.0000 0.0000 0.5000
I1 0.0000 0.5000 0.5000
# magnetization: 2.67 μB/f.u.
# formation energy without anion corrections: 6.83 eV/f.u.

---

Record 15
# TeCI | the Alexandria database | GGA-PBE | optimized geometry
data_TeCI
_chemical_formula_sum 'Te1 C1 I1'
_cell_length_a 4.7107
_cell_length_b 3.6741
_cell_length_c 6.3766
_cell_angle_alpha 90.00
_cell_angle_beta 110.44
_cell_angle_gamma 90.00
_symmetry_space_group_name_H-M 'P 1 m 1'
_symmetry_Int_Tables_number 6
_symmetry_space_group_name_Hall 'P -2y'
loop_
_atom_site_label
_atom_site_fract_x
_atom_site_fract_y
_atom_site_fract_z
Te1 0.0000 0.0000 0.0000
C1 0.0910 0.5000 0.1822
I1 0.2746 0.5000 0.5305
# magnetization: 0.00 μB/f.u.
# formation energy without anion corrections: 3.46 eV/f.u.

---

Record 16
# TeCI | the Alexandria database | GGA-PBE | optimized geometry
data_TeCI
_chemical_formula_sum 'Te2 C2 I2'
_cell_length_a 5.7184
_cell_length_b 5.7838
_cell_length_c 9.9897
_cell_angle_alpha 92.10
_cell_angle_beta 104.55
_cell_angle_gamma 118.50
_symmetry_space_group_name_H-M 'P 1'
_symmetry_Int_Tables_number 1
_symmetry_space_group_name_Hall 'P 1'
loop_
_atom_site_label
_atom_site_fract_x
_atom_site_fract_y
_atom_site_fract_z
Te1 0.0000 0.0000 0.0000
Te2 0.4087 0.1860 0.5729
C1 0.6352 0.1179 0.7369
C2 0.7747 0.0753 0.8395
I1 0.9098 0.6168 0.5055
I2 0.9620 0.2738 0.2220
# magnetization: 0.00 μB/f.u.
# formation energy without anion corrections: 1.83 eV/f.u.

---

Record 17
# Te3CI | the Alexandria database | GGA-PBE | optimized geometry
data_Te3CI
_chemical_formula_sum 'Te3 C1 I1'
_cell_length_a 5.8848
_cell_length_b 5.8848
_cell_length_c 5.8848
_cell_angle_alpha 90.00
_cell_angle_beta 90.00
_cell_angle_gamma 90.00
_symmetry_space_group_name_H-M 'P m -3 m'
_symmetry_Int_Tables_number 221
_symmetry_space_group_name_Hall '-P 4 2 3'
loop_
_atom_site_label
_atom_site_fract_x
_atom_site_fract_y
_atom_site_fract_z
Te1 0.0000 0.0000 0.5000
C1 0.5000 0.5000 0.5000
I1 0.0000 0.0000 0.0000
# magnetization: 0.84 μB/f.u.
# formation energy without anion corrections: 11.08 eV/f.u.

---

Record 18
# TeCI | the Alexandria database | GGA-PBE | optimized geometry
data_TeCI
_chemical_formula_sum 'Te2 C2 I2'
_cell_length_a 3.8686
_cell_length_b 6.7089
_cell_length_c 7.7444
_cell_angle_alpha 84.61
_cell_angle_beta 75.86
_cell_angle_gamma 90.00
_symmetry_space_group_name_H-M 'P 1'
_symmetry_Int_Tables_number 1
_symmetry_space_group_name_Hall 'P 1'
loop_
_atom_site_label
_atom_site_fract_x
_atom_site_fract_y
_atom_site_fract_z
Te1 0.0000 0.0000 0.0000
Te2 0.3063 0.8396 0.3958
C1 0.5053 0.1834 0.9893
C2 0.8675 0.9098 0.2708
I1 0.4142 0.4149 0.1757
I2 0.6418 0.3102 0.7094
# magnetization: 0.00 μB/f.u.
# formation energy without anion corrections: 3.14 eV/f.u.

---

Record 19
# TeCI | the Alexandria database | GGA-PBE | optimized geometry
data_TeCI
_chemical_formula_sum 'Te2 C2 I2'
_cell_length_a 5.9896
_cell_length_b 7.0295
_cell_length_c 7.3223
_cell_angle_alpha 83.56
_cell_angle_beta 81.40
_cell_angle_gamma 67.81
_symmetry_space_group_name_H-M 'P 1'
_symmetry_Int_Tables_number 1
_symmetry_space_group_name_Hall 'P 1'
loop_
_atom_site_label
_atom_site_fract_x
_atom_site_fract_y
_atom_site_fract_z
Te1 0.0000 0.0000 0.0000
Te2 0.3861 0.6237 0.2163
C1 0.6137 0.7742 0.1269
C2 0.7563 0.8633 0.0752
I1 0.1824 0.8241 0.6497
I2 0.7542 0.2816 0.3898
# magnetization: 0.00 μB/f.u.
# formation energy without anion corrections: 1.71 eV/f.u.

---

Record 20
# TeCI | the Alexandria database | GGA-PBE | optimized geometry
data_TeCI
_chemical_formula_sum 'Te1 C1 I1'
_cell_length_a 3.4194
_cell_length_b 4.2120
_cell_length_c 6.9183
_cell_angle_alpha 75.00
_cell_angle_beta 78.06
_cell_angle_gamma 67.42
_symmetry_space_group_name_H-M 'P 1'
_symmetry_Int_Tables_number 1
_symmetry_space_group_name_Hall 'P 1'
loop_
_atom_site_label
_atom_site_fract_x
_atom_site_fract_y
_atom_site_fract_z
Te1 0.0000 0.0000 0.0000
C1 0.6730 0.7352 0.8877
I1 0.7899 0.7934 0.5585
# magnetization: 0.00 μB/f.u.
# formation energy without anion corrections: 3.45 eV/f.u.